Entry 1:
A plane-wave DFT calculation with PBE was carried out for BaCa2Hg after structural relaxation.

For the energy of formation, the calculation gives -0.282 eV/atom. For the total magnetization, the calculation gives 0.00 μB per formula unit. The value obtained for the density is 4.36 g cm⁻³.

The structure belongs to space group Cmcm (No. 63); the cell edges are 5.2539, 12.6457 and 9.5792 Å and the angles 90.00°, 90.00° and 90.00°. The inequivalent atoms are Ba at (0.0000, 0.0543, 0.2500), Ca at (0.0000, 0.3440, 0.0553) and Hg at (0.0000, 0.2267, 0.7500).

***

Entry 2:
A plane-wave DFT calculation with PBE was carried out for BaCa2Hg after structural relaxation.

For the energy of formation, the calculation gives -0.253 eV/atom. For the total magnetization, the calculation gives 0.00 μB per formula unit. The value obtained for the density is 4.44 g cm⁻³.

The structure belongs to space group P4/mmm (No. 123); the cell edges are 3.9053, 3.9053 and 10.2543 Å and the angles 90.00°, 90.00° and 90.00°. The inequivalent atoms are Ba at (0.0000, 0.0000, 0.0000), Ca at (0.5000, 0.5000, 0.3235) and Hg at (0.0000, 0.0000, 0.5000).

***

Entry 3:
A plane-wave DFT calculation with PBE was carried out for BaCa2Hg2 after structural relaxation.

For the energy of formation, the calculation gives -0.403 eV/atom. The distance to the lowest polymorph of the same formula comes out at 4.1 meV per atom. For the total magnetization, the calculation gives 0.00 μB per formula unit. The value obtained for the density is 5.78 g cm⁻³.

The structure belongs to space group P2_1/m (No. 11); the cell edges are 5.9628, 5.7526 and 10.5267 Å and the angles 90.00°, 100.04° and 90.00°. The inequivalent atoms are Ba at (0.1895, 0.2500, 0.2765), Ca at (0.2873, 0.2500, 0.6436), Ca at (0.3202, 0.7500, 0.0038), Hg at (0.1451, 0.2500, 0.9129) and Hg at (0.2543, 0.7500, 0.4935).

***

Entry 4:
A plane-wave DFT calculation with PBE was carried out for Ba5CaHg4 after structural relaxation.

For the energy of formation, the calculation gives -0.418 eV/atom. For the total magnetization, the calculation gives 0.00 μB per formula unit. The value obtained for the density is 6.32 g cm⁻³.

The structure belongs to space group P4/mmm (No. 123); the cell edges are 4.2093, 4.2093 and 22.6879 Å and the angles 90.00°, 90.00° and 90.00°. The inequivalent atoms are Ba at (0.0000, 0.0000, 0.0000), Ba at (0.0000, 0.0000, 0.1860), Ba at (0.0000, 0.0000, 0.3685), Ca at (0.5000, 0.5000, 0.5000), Hg at (0.5000, 0.5000, 0.0927) and Hg at (0.5000, 0.5000, 0.2820).

***

Entry 5:
A plane-wave DFT calculation with PBE was carried out for BaCa2Hg after structural relaxation.

For the energy of formation, the calculation gives -0.268 eV/atom. For the total magnetization, the calculation gives 0.00 μB per formula unit. The value obtained for the density is 4.42 g cm⁻³.

The structure belongs to space group Pmm2 (No. 25); the cell edges are 3.9934, 4.0410 and 9.7319 Å and the angles 90.00°, 90.00° and 90.00°. The inequivalent atoms are Ba at (0.0000, 0.0000, 0.0000), Ca at (0.0000, 0.0000, 0.6069), Ca at (0.5000, 0.5000, 0.3317) and Hg at (0.5000, 0.5000, 0.7671).

***

Entry 6:
A plane-wave DFT calculation with PBE was carried out for Ba3CaHg after structural relaxation.

For the energy of formation, the calculation gives -0.070 eV/atom. The distance to the lowest polymorph of the same formula comes out at 107.0 meV per atom. For the total magnetization, the calculation gives 0.00 μB per formula unit. The value obtained for the density is 3.69 g cm⁻³.

The structure belongs to space group Pm-3m (No. 221); the cell edges are 6.6453, 6.6453 and 6.6453 Å and the angles 90.00°, 90.00° and 90.00°. The inequivalent atoms are Ba at (0.0000, 0.0000, 0.5000), Ca at (0.5000, 0.5000, 0.5000) and Hg at (0.0000, 0.0000, 0.0000).

***

Entry 7:
A plane-wave DFT calculation with PBE was carried out for BaCa2Hg after structural relaxation.

For the energy of formation, the calculation gives -0.138 eV/atom. For the total magnetization, the calculation gives 0.00 μB per formula unit. The value obtained for the density is 4.56 g cm⁻³.

The structure belongs to space group Pmmm (No. 47); the cell edges are 4.7055, 5.5571 and 5.8210 Å and the angles 90.00°, 90.00° and 90.00°. The inequivalent atoms are Ba at (0.0000, 0.0000, 0.0000), Ca at (0.0000, 0.5000, 0.5000), Ca at (0.5000, 0.0000, 0.5000) and Hg at (0.5000, 0.5000, 0.0000).

***

Entry 8:
A plane-wave DFT calculation with PBE was carried out for Ba2CaHg2 after structural relaxation.

For the energy of formation, the calculation gives -0.164 eV/atom. The distance to the lowest polymorph of the same formula comes out at 242.6 meV per atom. For the total magnetization, the calculation gives 0.00 μB per formula unit. The value obtained for the density is 5.27 g cm⁻³.

The structure belongs to space group I4/mmm (No. 139); the cell edges are 4.5528, 4.5528 and 21.7627 Å and the angles 90.00°, 90.00° and 90.00°. The inequivalent atoms are Ba at (0.0000, 0.0000, 0.1260), Ca at (0.0000, 0.0000, 0.5000) and Hg at (0.0000, 0.5000, 0.2500).